[1]
# MgInAu4, relaxed, DFT PBE
data_MgInAu4
_cell_length_a 7.8728
_cell_length_b 7.8728
_cell_length_c 7.8728
_cell_angle_alpha 90.00
_cell_angle_beta 90.00
_cell_angle_gamma 90.00
_symmetry_space_group_name_H-M 'F -4 3 m'
_symmetry_Int_Tables_number 216
_symmetry_space_group_name_Hall 'F -4 2 3'
loop_
_atom_site_label
_atom_site_fract_x
_atom_site_fract_y
_atom_site_fract_z
Mg1 0.0000 0.0000 0.0000
In1 0.2500 0.2500 0.2500
Au1 0.1252 0.1252 0.6252
# * crystal system: cubic
# * electronic total energy: -3.095 eV/atom
# * Fermi-level density of states: 0.441 states/eV/atom
# * E_form: -1.12 eV per formula unit

[2]
# BaRe2Mo, relaxed, DFT PBE
data_BaRe2Mo
_cell_length_a 9.5999
_cell_length_b 3.1392
_cell_length_c 6.5465
_cell_angle_alpha 90.00
_cell_angle_beta 104.03
_cell_angle_gamma 90.00
_symmetry_space_group_name_H-M 'C 1 2/m 1'
_symmetry_Int_Tables_number 12
loop_
_symmetry_equiv_pos_as_xyz
'x,y,z'
'-x,-y,-z'
'-x,y,-z'
'x,-y,z'
'x+1/2,y+1/2,z'
'-x+1/2,-y+1/2,-z'
'-x+1/2,y+1/2,-z'
'x+1/2,-y+1/2,z'
loop_
_atom_site_label
_atom_site_fract_x
_atom_site_fract_y
_atom_site_fract_z
Ba1 0.0000 0.0000 0.0000
Re1 0.2156 0.0000 0.6277
Mo1 0.0000 0.5000 0.5000
# * crystal system: monoclinic
# * electronic total energy: -8.530 eV/atom
# * Fermi-level density of states: 1.174 states/eV/atom
# * E_form: 3.53 eV per formula unit

[3]
# Zr2TlAs, relaxed, DFT PBE
data_Zr2TlAs
_cell_length_a 6.2098
_cell_length_b 7.6843
_cell_length_c 3.5590
_cell_angle_alpha 90.00
_cell_angle_beta 90.00
_cell_angle_gamma 90.00
_symmetry_space_group_name_H-M 'C m m m'
_symmetry_Int_Tables_number 65
_symmetry_space_group_name_Hall '-C 2 2'
loop_
_atom_site_label
_atom_site_fract_x
_atom_site_fract_y
_atom_site_fract_z
Zr1 0.2500 0.2500 0.0000
Tl1 0.0000 0.0000 0.5000
As1 0.0000 0.5000 0.5000
# * crystal system: orthorhombic
# * electronic total energy: -6.335 eV/atom
# * Fermi-level density of states: 0.686 states/eV/atom
# * E_form: -1.23 eV per formula unit

[4]
# Pm6AuCl8, relaxed, DFT PBE
data_Pm6AuCl8
_cell_length_a 6.9828
_cell_length_b 6.9828
_cell_length_c 30.9876
_cell_angle_alpha 90.00
_cell_angle_beta 90.00
_cell_angle_gamma 120.00
_symmetry_space_group_name_H-M 'R -3'
_symmetry_Int_Tables_number 148
_symmetry_space_group_name_Hall '-R 3'
loop_
_atom_site_label
_atom_site_fract_x
_atom_site_fract_y
_atom_site_fract_z
Pm1 0.9999 0.3325 0.2784
Au1 0.0000 0.0000 0.0000
Cl1 0.0000 0.0000 0.3335
Cl2 0.0007 0.3277 0.1087
# * crystal system: trigonal
# * electronic total energy: -4.768 eV/atom
# * Fermi-level density of states: 0.470 states/eV/atom

[5]
# CaAlN, relaxed, DFT PBE
data_CaAlN
_cell_length_a 10.9166
_cell_length_b 3.1963
_cell_length_c 5.7284
_cell_angle_alpha 90.00
_cell_angle_beta 90.00
_cell_angle_gamma 90.00
_symmetry_space_group_name_H-M 'P n m a'
_symmetry_Int_Tables_number 62
loop_
_symmetry_equiv_pos_as_xyz
'x,y,z'
'-x,-y,-z'
'-x+1/2,-y,z+1/2'
'x+1/2,y,-z+1/2'
'x+1/2,-y+1/2,-z+1/2'
'-x+1/2,y+1/2,z+1/2'
'-x,y+1/2,-z'
'x,-y+1/2,z'
loop_
_atom_site_label
_atom_site_fract_x
_atom_site_fract_y
_atom_site_fract_z
Ca1 0.1418 0.2500 0.0132
Al1 0.0955 0.2500 0.5294
N1 0.0364 0.7500 0.7113
# * crystal system: orthorhombic
# * electronic total energy: -5.373 eV/atom
# * Fermi-level density of states: 0.064 states/eV/atom

[6]
# SrMg6Ni, relaxed, DFT PBE
data_SrMg6Ni
_cell_length_a 4.5127
_cell_length_b 6.2586
_cell_length_c 14.0244
_cell_angle_alpha 90.00
_cell_angle_beta 90.00
_cell_angle_gamma 90.00
_symmetry_space_group_name_H-M 'A m m 2'
_symmetry_Int_Tables_number 38
loop_
_symmetry_equiv_pos_as_xyz
'x,y,z'
'-x,-y,z'
'-x,y,z'
'x,-y,z'
'x,y+1/2,z+1/2'
'-x,-y+1/2,z+1/2'
'-x,y+1/2,z+1/2'
'x,-y+1/2,z+1/2'
loop_
_atom_site_label
_atom_site_fract_x
_atom_site_fract_y
_atom_site_fract_z
Sr1 0.0000 0.0000 0.0000
Mg1 0.0000 0.0000 0.4159
Mg2 0.0000 0.2422 0.2059
Mg3 0.5000 0.0000 0.5885
Mg4 0.5000 0.2447 0.8344
Ni1 0.5000 0.0000 0.1783
# * crystal system: orthorhombic
# * electronic total energy: -2.065 eV/atom
# * Fermi-level density of states: 0.545 states/eV/atom
# * E_form: 0.51 eV per formula unit